{
  "formula": "Sr4GaPb",
  "functional": "PBE",
  "state": "optimized geometry",
  "magmom_total_mub_per_cell": 0.001,
  "e_tot_ev_per_atom": -2.61,
  "ef_ev_per_fu": -2.22,
  "lattice": [[5.243, -7.583, 0.000], [5.243, 7.583, 0.000], [-3.701, 0.000, 6.232]],
  "species": ["Sr", "Sr", "Sr", "Sr", "Sr", "Sr", "Sr", "Sr", "Ga", "Ga", "Pb", "Pb"],
  "frac_coords": [[0.051, 0.708, 0.921], [0.237, 0.353, 0.722], [0.292, 0.949, 0.579], [0.353, 0.237, 0.222], [0.647, 0.763, 0.778], [0.708, 0.051, 0.421], [0.763, 0.647, 0.278], [0.949, 0.292, 0.079], [0.008, 0.992, 0.750], [0.992, 0.008, 0.250], [0.361, 0.639, 0.250], [0.639, 0.361, 0.750]]
}